# 1
## Ca4ScAu (PBE-GGA)

Data for crystalline Ca4ScAu at its relaxed geometry.

CIF file:
```
data_Ca4ScAu
_cell_length_a 9.326
_cell_length_b 9.326
_cell_length_c 9.326
_cell_angle_alpha 90.00
_cell_angle_beta 90.00
_cell_angle_gamma 90.00
_space_group_name_H-M_alt 'F -4 3 m'
_space_group_IT_number 216
_space_group_name_Hall 'F -4 2 3'
loop_
_atom_site_label
_atom_site_type_symbol
_atom_site_fract_x
_atom_site_fract_y
_atom_site_fract_z
Ca1 Ca 0.125 0.125 0.125
Sc1 Sc 0.250 0.250 0.750
Au1 Au 0.000 0.000 0.500
```

Values from the calculation:
The volume comes out at 811.2 Å³ per cell. As for the size of the total moment: 6.41 Bohr magnetons per cell. For the calculated density, the calculation gives 3.29 Mg/m³. The calculation puts the total DFT energy (no corrections) at -2.494 eV/atom.

=====

# 2
## ZrCr3Pd (PBE-GGA)

Data for crystalline ZrCr3Pd at its relaxed geometry.

CIF file:
```
data_ZrCr3Pd
_cell_length_a 4.465
_cell_length_b 4.465
_cell_length_c 4.465
_cell_angle_alpha 90.00
_cell_angle_beta 90.00
_cell_angle_gamma 90.00
_space_group_name_H-M_alt 'P m -3 m'
_space_group_IT_number 221
_space_group_name_Hall '-P 4 2 3'
loop_
_atom_site_label
_atom_site_type_symbol
_atom_site_fract_x
_atom_site_fract_y
_atom_site_fract_z
Zr1 Zr 0.000 0.000 0.000
Cr1 Cr 0.000 0.000 0.500
Pd1 Pd 0.500 0.500 0.500
```

Values from the calculation:
The volume comes out at 89.0 Å³ per cell. As for the size of the total moment: 0.00 Bohr magnetons per cell. For the calculated density, the calculation gives 6.60 Mg/m³. The calculation puts the total DFT energy (no corrections) at -6.529 eV/atom.

=====

# 3
## Hg2SbI2 (PBE-GGA)

Data for crystalline Hg2SbI2 at its relaxed geometry.

CIF file:
```
data_Hg2SbI2
_cell_length_a 14.028
_cell_length_b 7.281
_cell_length_c 10.832
_cell_angle_alpha 90.00
_cell_angle_beta 125.14
_cell_angle_gamma 90.00
_space_group_name_H-M_alt 'C 1 2/m 1'
_space_group_IT_number 12
loop_
_space_group_symop_operation_xyz
'x,y,z'
'-x,-y,-z'
'-x,y,-z'
'x,-y,z'
'x+1/2,y+1/2,z'
'-x+1/2,-y+1/2,-z'
'-x+1/2,y+1/2,-z'
'x+1/2,-y+1/2,z'
loop_
_atom_site_label
_atom_site_type_symbol
_atom_site_fract_x
_atom_site_fract_y
_atom_site_fract_z
Hg1 Hg 0.028 0.000 0.231
Hg2 Hg 0.181 0.500 0.073
Sb1 Sb 0.099 0.000 0.653
I1 I 0.023 0.500 0.225
I2 I 0.194 0.000 0.170
```

Values from the calculation:
The volume comes out at 904.7 Å³ per cell. As for the size of the total moment: 0.00 Bohr magnetons per cell. For the calculated density, the calculation gives 5.70 Mg/m³. The calculation puts the total DFT energy (no corrections) at -1.620 eV/atom.

=====

# 4
## NpUMn (PBE-GGA)

Data for crystalline NpUMn at its relaxed geometry.

CIF file:
```
data_NpUMn
_cell_length_a 3.456
_cell_length_b 3.456
_cell_length_c 8.849
_cell_angle_alpha 90.00
_cell_angle_beta 90.00
_cell_angle_gamma 90.00
_space_group_name_H-M_alt 'I 4 m m'
_space_group_IT_number 107
_space_group_name_Hall 'I 4 -2'
loop_
_atom_site_label
_atom_site_type_symbol
_atom_site_fract_x
_atom_site_fract_y
_atom_site_fract_z
Np1 Np 0.000 0.000 0.000
U1 U 0.000 0.000 0.676
Mn1 Mn 0.000 0.000 0.338
```

Values from the calculation:
The volume comes out at 105.7 Å³ per cell. As for the size of the total moment: 6.64 Bohr magnetons per cell. For the calculated density, the calculation gives 16.65 Mg/m³. The calculation puts the total DFT energy (no corrections) at -10.969 eV/atom.

=====

# 5
## Na3Cd5Ag2 (PBE-GGA)

Data for crystalline Na3Cd5Ag2 at its relaxed geometry.

CIF file:
```
data_Na3Cd5Ag2
_cell_length_a 11.272
_cell_length_b 12.605
_cell_length_c 7.074
_cell_angle_alpha 90.00
_cell_angle_beta 109.33
_cell_angle_gamma 90.00
_space_group_name_H-M_alt 'C 1 2/c 1'
_space_group_IT_number 15
loop_
_space_group_symop_operation_xyz
'x,y,z'
'-x,-y,-z'
'-x,y,-z+1/2'
'x,-y,z+1/2'
'x+1/2,y+1/2,z'
'-x+1/2,-y+1/2,-z'
'-x+1/2,y+1/2,-z+1/2'
'x+1/2,-y+1/2,z+1/2'
loop_
_atom_site_label
_atom_site_type_symbol
_atom_site_fract_x
_atom_site_fract_y
_atom_site_fract_z
Na1 Na 0.000 0.089 0.250
Na2 Na 0.115 0.296 0.051
Cd1 Cd 0.000 0.498 0.250
Cd2 Cd 0.182 0.342 0.551
Cd3 Cd 0.216 0.038 0.072
Ag1 Ag 0.109 0.146 0.692
```

Values from the calculation:
The volume comes out at 948.4 Å³ per cell. As for the size of the total moment: 0.00 Bohr magnetons per cell. For the calculated density, the calculation gives 5.93 Mg/m³. The calculation puts the total DFT energy (no corrections) at -1.487 eV/atom.

=====

# 6
## CdCu2AsS4 (PBE-GGA)

Data for crystalline CdCu2AsS4 at its relaxed geometry.

CIF file:
```
data_CdCu2AsS4
_cell_length_a 5.572
_cell_length_b 5.572
_cell_length_c 10.924
_cell_angle_alpha 90.00
_cell_angle_beta 90.00
_cell_angle_gamma 90.00
_space_group_name_H-M_alt 'I -4 2 m'
_space_group_IT_number 121
_space_group_name_Hall 'I -4 2'
loop_
_atom_site_label
_atom_site_type_symbol
_atom_site_fract_x
_atom_site_fract_y
_atom_site_fract_z
Cd1 Cd 0.000 0.000 0.000
Cu1 Cu 0.000 0.500 0.250
As1 As 0.000 0.000 0.500
S1 S 0.237 0.237 0.640
```

Values from the calculation:
The volume comes out at 339.2 Å³ per cell. As for the size of the total moment: 0.00 Bohr magnetons per cell. For the calculated density, the calculation gives 4.33 Mg/m³. The calculation puts the total DFT energy (no corrections) at -4.026 eV/atom.